1.
# TbPm4Ge2

Crystalline TbPm4Ge2 at its relaxed geometry (PBE, Alexandria via LeMat-Bulk).

Results
V in Å³/atom: 28.3
ΔE_f in eV per atom: -0.437
N(E_F) in states/eV/f.u.: 6.08

Lattice parameters (Å, degrees): 10.3875 10.3875 3.6667 90.00 90.00 90.00
With the nearest neighbours (Å) after each atom.
Atoms (fractional coordinates):
Tb1 0.0000 0.0000 0.0000  4 Ge 3.00
Tb2 0.5000 0.5000 0.5000  4 Ge 3.00
Pm1 0.0979 0.3143 0.5000  3 Ge 3.11-3.13, 1 Pm 3.18
Pm2 0.1857 0.5979 0.0000  3 Ge 3.11-3.13, 1 Pm 3.18
Pm3 0.3143 0.0979 0.5000  3 Ge 3.11-3.13, 1 Pm 3.18
Pm4 0.4021 0.8143 0.0000  3 Ge 3.11-3.13, 1 Pm 3.18
Pm5 0.5979 0.1857 0.0000  3 Ge 3.11-3.13, 1 Pm 3.18
Pm6 0.6857 0.9021 0.5000  3 Ge 3.11-3.13, 1 Pm 3.18
Pm7 0.8143 0.4021 0.0000  3 Ge 3.11-3.13, 1 Pm 3.18
Pm8 0.9021 0.6857 0.5000  3 Ge 3.11-3.13, 1 Pm 3.18
Ge1 0.1613 0.8387 0.5000  2 Tb 3.00, 6 Pm 3.11-3.13
Ge2 0.3387 0.3387 0.0000  2 Tb 3.00, 6 Pm 3.11-3.13
Ge3 0.6613 0.6613 0.0000  2 Tb 3.00, 6 Pm 3.11-3.13
Ge4 0.8387 0.1613 0.5000  2 Tb 3.00, 6 Pm 3.11-3.13

2.
# Si2PW

Crystalline Si2PW at its relaxed geometry (PBE, Alexandria via LeMat-Bulk).

Results
V in Å³/atom: 14.6
N(E_F) in states/eV/f.u.: 2.02
Uncorrected formation energy in eV/atom: 0.203

Lattice parameters (Å, degrees): 7.1809 7.1809 7.1809 25.07 25.07 25.07
With the nearest neighbours (Å) after each atom.
Atoms (fractional coordinates):
Si1 0.2447 0.2447 0.2447  3 P 2.43, 3 W 2.58
Si2 0.7553 0.7553 0.7553  3 P 2.43, 3 W 2.58
P1 0.5000 0.5000 0.5000  6 Si 2.43
W1 0.0000 0.0000 0.0000  6 Si 2.58